1.
DFT (GGA-PBE) results for crystalline NaCrS2 at its relaxed geometry.

## Properties
- D(E_F): 0.12 states/eV per atom
- ΔE_f (raw): -0.76 eV per atom

abc: 6.4294 6.4294 8.7810
angles: 90.00 90.00 90.00
Space group I-42d (No. 122)
Unique sites:
Na 0.0000 0.0000 0.0000
Cr 0.0000 0.0000 0.5000
S 0.1801 0.7500 0.6250

2.
DFT (GGA-PBE) results for crystalline NaCr3S at its relaxed geometry.

## Properties
- D(E_F): 0.35 states/eV per atom
- Offset from the most stable computed form: 1.125 eV/atom
- ΔE_f (raw): 1.88 eV per atom

abc: 4.9818 4.9818 4.9818
angles: 90.00 90.00 90.00
Space group Pm-3m (No. 221)
Unique sites:
Na 0.0000 0.0000 0.0000
Cr 0.0000 0.0000 0.5000
S 0.5000 0.5000 0.5000

3.
DFT (GGA-PBE) results for crystalline Na3CrS at its relaxed geometry.

## Properties
- D(E_F): 0.03 states/eV per atom
- Offset from the most stable computed form: 0.000 eV/atom
- ΔE_f (raw): 0.01 eV per atom

abc: 5.3432 5.3432 5.3432
angles: 90.00 90.00 90.00
Space group Pm-3m (No. 221)
Unique sites:
Na 0.0000 0.0000 0.5000
Cr 0.5000 0.5000 0.5000
S 0.0000 0.0000 0.0000

4.
DFT (GGA-PBE) results for crystalline NaCr5S8 at its relaxed geometry.

## Properties
- D(E_F): 0.00 states/eV per atom
- ΔE_f (raw): -0.76 eV per atom

abc: 18.1953 3.4820 8.5732
angles: 90.00 106.73 90.00
Space group Cm (No. 8)
Unique sites:
Na 0.0000 0.0000 0.0000
Cr 0.1206 0.0000 0.4698
Cr 0.1676 0.0000 0.8384
Cr 0.2598 0.5000 0.1737
Cr 0.3089 0.5000 0.5453
Cr 0.4634 0.0000 0.5033
S 0.0418 0.0000 0.6482
S 0.0440 0.5000 0.3192
S 0.1342 0.5000 0.9917
S 0.2014 0.5000 0.6610
S 0.2276 0.0000 0.3566
S 0.2910 0.0000 0.0208
S 0.3847 0.5000 0.3617
S 0.3865 0.0000 0.6933

5.
DFT (GGA-PBE) results for crystalline NaCr2S4 at its relaxed geometry.

## Properties
- D(E_F): 0.86 states/eV per atom
- Offset from the most stable computed form: 0.011 eV/atom
- ΔE_f (raw): -0.79 eV per atom

abc: 5.8886 3.4678 6.8669
angles: 90.00 90.38 90.00
Space group P2/m (No. 10)
Unique sites:
Na 0.0000 0.0000 0.0000
Cr 0.0000 0.0000 0.5000
Cr 0.5000 0.5000 0.5000
S 0.1630 0.5000 0.3055
S 0.3376 0.0000 0.6925

6.
DFT (GGA-PBE) results for crystalline Na3CrS4 at its relaxed geometry.

## Properties
- D(E_F): 0.56 states/eV per atom
- ΔE_f (raw): -0.81 eV per atom

abc: 6.1250 6.1250 11.5148
angles: 90.00 90.00 90.00
Space group I-42m (No. 121)
Unique sites:
Na 0.0000 0.0000 0.0000
Na 0.0000 0.5000 0.2500
Cr 0.0000 0.0000 0.5000
S 0.2031 0.2031 0.3952

7.
DFT (GGA-PBE) results for crystalline NaCrS2 at its relaxed geometry.

## Properties
- D(E_F): 0.00 states/eV per atom
- ΔE_f (raw): -0.71 eV per atom

abc: 3.6035 3.6035 23.0303
angles: 90.00 90.00 120.00
Space group R-3m (No. 166, hexagonal axes)
Unique sites:
Na 0.0000 0.0000 0.0000
Cr 0.0000 0.0000 0.5000
S 0.0000 0.0000 0.1123

8.
DFT (GGA-PBE) results for crystalline NaCr2S4 at its relaxed geometry.

## Properties
- D(E_F): 0.38 states/eV per atom
- Offset from the most stable computed form: 0.212 eV/atom
- ΔE_f (raw): -0.59 eV per atom

abc: 6.4604 8.0534 12.2571
angles: 99.57 94.59 90.50
Space group P-1 (No. 2)
Unique sites:
Na 0.1393 0.2107 0.3405
Na 0.2568 0.3625 0.0078
Cr 0.1516 0.7112 0.2831
Cr 0.2319 0.8996 0.9993
Cr 0.3529 0.5456 0.7103
Cr 0.3592 0.0479 0.7083
S 0.0761 0.1107 0.1101
S 0.1427 0.6920 0.1062
S 0.1792 0.2816 0.6578
S 0.2766 0.7771 0.6376
S 0.3284 0.5069 0.3407
S 0.3397 0.9278 0.3659
S 0.3430 0.6330 0.8851
S 0.4233 0.0595 0.8918

9.
DFT (GGA-PBE) results for crystalline NaCr2S2 at its relaxed geometry.

## Properties
- D(E_F): 0.37 states/eV per atom
- ΔE_f (raw): -0.32 eV per atom

abc: 4.5005 4.5005 7.6160
angles: 90.00 90.00 90.00
Space group I4/mmm (No. 139)
Unique sites:
Na 0.0000 0.0000 0.0000
Cr 0.0000 0.0000 0.3758
S 0.0000 0.5000 0.2500

10.
DFT (GGA-PBE) results for crystalline NaCrS2 at its relaxed geometry.

## Properties
- ΔE_f (raw): -0.94 eV per atom

abc: 3.5752 3.5752 6.5735
angles: 90.00 90.00 120.00
Space group P-3m1 (No. 164)
Unique sites:
Na 0.0000 0.0000 0.0000
Cr 0.0000 0.0000 0.5000
S 0.3333 0.6667 0.3037

11.
DFT (GGA-PBE) results for crystalline Na3Cr5S12 at its relaxed geometry.

## Properties
- D(E_F): 0.23 states/eV per atom
- ΔE_f (raw): -0.58 eV per atom

abc: 14.8175 14.8175 14.8175
angles: 90.00 90.00 90.00
Space group Ia-3d (No. 230)
Unique sites:
Na 0.0000 0.2500 0.1250
Cr 0.0000 0.0000 0.0000
Cr 0.0000 0.2500 0.3750
S 0.0403 0.0557 0.6471

12.
DFT (GGA-PBE) results for crystalline NaCr2S3 at its relaxed geometry.

## Properties
- D(E_F): 0.24 states/eV per atom
- ΔE_f (raw): -0.67 eV per atom

abc: 6.3450 3.5997 10.1626
angles: 90.00 106.19 90.00
Space group P2_1/m (No. 11)
Unique sites:
Na 0.1976 0.2500 0.1694
Cr 0.2435 0.7500 0.4990
Cr 0.3805 0.2500 0.8590
S 0.0226 0.2500 0.3761
S 0.2626 0.7500 0.9709
S 0.4727 0.2500 0.6388

13.
DFT (GGA-PBE) results for crystalline NaCr2S4 at its relaxed geometry.

## Properties
- D(E_F): 0.83 states/eV per atom
- Offset from the most stable computed form: 0.000 eV/atom
- ΔE_f (raw): -0.80 eV per atom

abc: 6.8639 13.8843 5.9335
angles: 90.00 90.00 90.00
Space group Pmmn (No. 59, origin choice 2)
Unique sites:
Na 0.2500 0.2500 0.0187
Na 0.2500 0.7500 0.3403
Cr 0.0000 0.0000 0.5000
Cr 0.2500 0.5019 0.9917
S 0.0009 0.5963 0.1658
S 0.2500 0.0936 0.3315
S 0.2500 0.5969 0.6649

14.
DFT (GGA-PBE) results for crystalline NaCr2S4 at its relaxed geometry.

## Properties
- D(E_F): 0.72 states/eV per atom
- Offset from the most stable computed form: 0.106 eV/atom
- ΔE_f (raw): -0.69 eV per atom

abc: 10.3739 10.3739 10.3739
angles: 90.00 90.00 90.00
Space group Fd-3m (No. 227, origin choice 2)
Unique sites:
Na 0.1250 0.1250 0.1250
Cr 0.0000 0.0000 0.5000
S 0.0190 0.0190 0.7310

15.
DFT (GGA-PBE) results for crystalline NaCr2S4 at its relaxed geometry.

## Properties
- D(E_F): 0.53 states/eV per atom
- Offset from the most stable computed form: 0.035 eV/atom
- ΔE_f (raw): -0.76 eV per atom

abc: 10.9625 3.5247 12.7253
angles: 90.00 90.00 90.00
Space group Pnma (No. 62)
Unique sites:
Na 0.2390 0.2500 0.1698
Cr 0.0591 0.2500 0.3882
Cr 0.0838 0.2500 0.8983
S 0.0271 0.7500 0.7860
S 0.0814 0.2500 0.5723
S 0.1150 0.7500 0.0214
S 0.2013 0.7500 0.3533

16.
DFT (GGA-PBE) results for crystalline NaCr2S4 at its relaxed geometry.

## Properties
- D(E_F): 0.46 states/eV per atom
- Offset from the most stable computed form: 0.072 eV/atom
- ΔE_f (raw): -0.73 eV per atom

abc: 11.4863 3.5072 12.3324
angles: 90.00 90.00 90.00
Space group Pnma (No. 62)
Unique sites:
Na 0.1289 0.2500 0.0816
Cr 0.0982 0.7500 0.4212
Cr 0.1622 0.7500 0.7917
S 0.0407 0.7500 0.6150
S 0.0526 0.2500 0.8604
S 0.2006 0.7500 0.2513
S 0.2308 0.2500 0.4592

17.
DFT (GGA-PBE) results for crystalline NaCr3S at its relaxed geometry.

## Properties
- D(E_F): 2.46 states/eV per atom
- Offset from the most stable computed form: 0.000 eV/atom
- ΔE_f (raw): 0.75 eV per atom

abc: 4.2535 4.2535 4.2535
angles: 90.00 90.00 90.00
Space group Pm-3m (No. 221)
Unique sites:
Na 0.0000 0.0000 0.0000
Cr 0.0000 0.5000 0.5000
S 0.5000 0.5000 0.5000

no.,total magnetization (μB per formula unit)
1,3.00
2,14.87
3,5.02
4,14.95
5,5.01
6,1.00
7,3.00
8,5.00
9,0.98
10,3.00
11,9.00
12,7.00
13,5.00
14,4.99
15,5.00
16,4.99
17,0.00